--- A ---
Entry from Alexandria: a geometry-optimized NbTl2P structure (PBE).

The total magnetization comes out at 0.164 μB per atom.

It has space group I-42d (No. 122), with a = 8.063 Å, b = 8.063 Å, c = 5.577 Å, α = 90.00°, β = 90.00° and γ = 90.00°. Symmetry generates all atoms from Nb at (0.000, 0.000, 0.000), Tl at (0.230, 0.250, 0.625) and P at (0.000, 0.000, 0.500).



--- B ---
Entry from Alexandria: a geometry-optimized NbTl2P structure (PBE).

The total magnetization comes out at 0.524 μB per atom.

It has space group Fm-3m (No. 225), with a = 7.113 Å, b = 7.113 Å, c = 7.113 Å, α = 90.00°, β = 90.00° and γ = 90.00°. Symmetry generates all atoms from Nb at (0.000, 0.000, 0.000), Tl at (0.250, 0.250, 0.250) and P at (0.000, 0.000, 0.500).



Out of the structures above, which one is the most stable? Solution: A.